The following is a GGA-PBE calculation of a geometry-optimized Co2AgRh structure, from Alexandria via LeMat-Bulk.

Results
For the energy relative to the elements, the calculation gives 39.1 kJ per mole of atoms. As for the density of states at the Fermi level: 4.63 states/eV/f.u.

a = 4.282 Å, b = 4.282 Å, c = 4.282 Å
α = 60.00°, β = 60.00°, γ = 60.00°
Each line ends with the local moment (μB).
Fractional positions:
Ag  0.500  0.500  0.500  0.03
Co  0.000  0.000  0.000  2.06
Co  0.250  0.250  0.250  1.85
Rh  0.750  0.750  0.750  0.68